Compound: TcHgNF2
Source: Alexandria
Functional: PBE
Structure: optimized geometry

Lattice parameters (Å, degrees): 4.3117 4.3117 3.8120 90.00 90.00 90.00
Closest atoms and distances in Å follow each position.
Sites, in units of the cell vectors:
F1 0.5000 0.0000 0.0000  2 Tc 2.16
F2 0.0000 0.5000 0.0000  2 Tc 2.16
Tc1 0.0000 0.0000 0.0000  2 N 1.91
Hg1 0.5000 0.5000 0.5000  8 F 2.88, 4 N 3.05
N1 0.0000 0.0000 0.5000  2 Tc 1.91

Summary:
**Size of the total moment**: 0.07 μB per atom
**Formation energy from raw total energies**: -541 meV/atom
**Calculated density**: 8.2 g/cm3
**Excess energy over the best structure of this formula in the dataset**: 0.000 kcal/mol of atoms
**Space-group type**: P4/mmm, No. 123
**E_tot**: -0.1870 Ha/atom